(1)
Density functional theory data (GGA-PBE) for crystalline TbPa4N7 at its relaxed geometry.

It has space group Cm (No. 8), with a = 11.3898 Å, b = 3.3935 Å, c = 9.5508 Å, α = 90.00°, β = 106.61° and γ = 90.00°. The inequivalent atoms are Tb at (0.0000, 0.0000, 0.0000), Pa at (0.1118, 0.0000, 0.4169), Pa at (0.2218, 0.0000, 0.8379), Pa at (0.3047, 0.5000, 0.2243), Pa at (0.4153, 0.0000, 0.6065), N at (0.0579, 0.0000, 0.6253), N at (0.1155, 0.5000, 0.9109), N at (0.1651, 0.0000, 0.2141), N at (0.2681, 0.5000, 0.4562), N at (0.3416, 0.5000, 0.7716), N at (0.3620, 0.0000, 0.0602) and N at (0.4571, 0.0000, 0.3785).

The calculation puts the magnetization at 0.000 μB/atom. The formation energy without anion corrections comes out at -1.5769 eV per atom. The uncorrected energy comes out at -239.6 eV/cell.

(2)
Density functional theory data (GGA-PBE) for crystalline TbPaN3 at its relaxed geometry.

It has space group C2/c (No. 15), with a = 11.4107 Å, b = 9.4790 Å, c = 5.9753 Å, α = 90.00°, β = 96.82° and γ = 90.00°. The inequivalent atoms are Tb at (0.2300, 0.1056, 0.2966), Pa at (0.0000, 0.1977, 0.7500), Pa at (0.0000, 0.4026, 0.2500), N at (0.0990, 0.4140, 0.9321), N at (0.1155, 0.2645, 0.4734) and N at (0.1339, 0.0778, 0.9382).

The calculation puts the magnetization at 0.000 μB/atom. The formation energy without anion corrections comes out at -1.2528 eV per atom. The uncorrected energy comes out at -362.9 eV/cell.